VASP calculation (GGA-PBEsol) on a geometry-optimized HoBO3 structure.

* formation energy from raw total energies: -3211 meV per atom
* total magnetic moment: 0.00 μB/f.u.
* E_tot: -8.754 eV/atom

Unit cell a=6.4787 b=6.4787 c=8.7786 alpha=90.00 beta=90.00 gamma=59.96
Closest atoms and distances in Å follow each position.
Fractional positions:
Ho: 0.0000 0.0000 0.0000  8 O 2.23-2.41
Ho: 0.0000 0.0000 0.5000  8 O 2.23-2.41
Ho: 0.3300 0.3300 0.0000  8 O 2.22-2.44
Ho: 0.3300 0.3300 0.5000  8 O 2.22-2.44
Ho: 0.6700 0.6700 0.0000  8 O 2.22-2.44
Ho: 0.6700 0.6700 0.5000  8 O 2.22-2.44
B: 0.0919 0.6658 0.2500  4 O 1.44-1.50
B: 0.3342 0.9081 0.2500  4 O 1.44-1.50
B: 0.4228 0.5772 0.7500  4 O 1.45-1.50
B: 0.5772 0.4228 0.2500  4 O 1.45-1.50
B: 0.6658 0.0919 0.7500  4 O 1.44-1.50
B: 0.9081 0.3342 0.7500  4 O 1.44-1.50
O: 0.0180 0.3337 0.6067  1 B 1.44
O: 0.0180 0.3337 0.8933  1 B 1.44
O: 0.1152 0.8848 0.2500  2 B 1.50
O: 0.3142 0.6858 0.6049  1 B 1.45
O: 0.3142 0.6858 0.8951  1 B 1.45
O: 0.3337 0.0180 0.1067  1 B 1.44
O: 0.3337 0.0180 0.3933  1 B 1.44
O: 0.3345 0.4455 0.2500  2 B 1.50
O: 0.4455 0.3345 0.7500  2 B 1.50
O: 0.5545 0.6655 0.2500  2 B 1.50
O: 0.6655 0.5545 0.7500  2 B 1.50
O: 0.6663 0.9820 0.6067  1 B 1.44
O: 0.6663 0.9820 0.8933  1 B 1.44
O: 0.6858 0.3142 0.1049  1 B 1.45
O: 0.6858 0.3142 0.3951  1 B 1.45
O: 0.8848 0.1152 0.7500  2 B 1.50
O: 0.9820 0.6663 0.1067  1 B 1.44
O: 0.9820 0.6663 0.3933  1 B 1.44

---

VASP calculation (GGA-PBEsol) on a geometry-optimized FeAsI2O structure.

* formation energy from raw total energies: 362 meV per atom
* total magnetic moment: 3.44 μB/f.u.
* E_tot: -4.208 eV/atom

Unit cell a=5.6314 b=5.6314 c=3.7373 alpha=90.00 beta=90.00 gamma=90.00
Closest atoms and distances in Å follow each position.
Fractional positions:
Fe: 0.0000 0.0000 0.0000  8 I 3.38, 2 Fe 3.74
As: 0.5000 0.5000 0.5000  2 O 1.87
I: 0.0000 0.5000 0.5000  2 As 2.82
I: 0.5000 0.0000 0.5000  2 As 2.82
O: 0.5000 0.5000 0.0000  2 As 1.87

---

VASP calculation (GGA-PBEsol) on a geometry-optimized CsSr3I structure.

* formation energy from raw total energies: 637 meV per atom
* total magnetic moment: 0.00 μB/f.u.
* E_tot: -1.009 eV/atom

Unit cell a=7.8086 b=7.8086 c=7.8086 alpha=90.00 beta=90.00 gamma=90.00
Closest atoms and distances in Å follow each position.
Fractional positions:
Cs: 0.0000 0.0000 0.0000  6 Sr 3.90
Sr: 0.0000 0.0000 0.5000  2 Cs 3.90
Sr: 0.0000 0.5000 0.0000  2 Cs 3.90
Sr: 0.5000 0.0000 0.0000  2 Cs 3.90
I: 0.5000 0.5000 0.5000  12 Sr 5.52

---

VASP calculation (GGA-PBEsol) on a geometry-optimized CoWSe3 structure.

* formation energy from raw total energies: 956 meV per atom
* total magnetic moment: 1.66 μB/f.u.
* E_tot: -5.663 eV/atom

Unit cell a=4.4980 b=4.4980 c=4.4980 alpha=90.00 beta=90.00 gamma=90.00
Closest atoms and distances in Å follow each position.
Fractional positions:
Co: 0.0000 0.0000 0.0000  6 Se 2.25
W: 0.5000 0.5000 0.5000  12 Se 3.18
Se: 0.0000 0.0000 0.5000  2 Co 2.25
Se: 0.0000 0.5000 0.0000  2 Co 2.25
Se: 0.5000 0.0000 0.0000  2 Co 2.25

---

VASP calculation (GGA-PBEsol) on a geometry-optimized RbSi2OsI structure.

* formation energy from raw total energies: 49 meV per atom
* total magnetic moment: 0.00 μB/f.u.
* E_tot: -5.251 eV/atom

Unit cell a=4.6270 b=4.6270 c=6.1521 alpha=90.00 beta=90.00 gamma=90.00
Closest atoms and distances in Å follow each position.
Fractional positions:
Rb: 0.0000 0.0000 0.0000  4 I 3.27
Si: 0.0000 0.5000 0.5000  2 Os 2.31
Si: 0.5000 0.0000 0.5000  2 Os 2.31
Os: 0.5000 0.5000 0.5000  4 Si 2.31
I: 0.5000 0.5000 0.0000  2 Os 3.08, 4 Rb 3.27

---

VASP calculation (GGA-PBEsol) on a geometry-optimized TlAgS structure.

* formation energy from raw total energies: -189 meV per atom
* total magnetic moment: 0.00 μB/f.u.
* E_tot: -3.631 eV/atom

Unit cell a=8.6981 b=4.3362 c=7.1169 alpha=90.00 beta=90.00 gamma=90.00
Closest atoms and distances in Å follow each position.
Fractional positions:
Tl: 0.9998 0.2500 0.2118  4 S 3.11-3.40, 6 Ag 3.17-3.39
Tl: 0.0002 0.7500 0.7882  4 S 3.11-3.40, 6 Ag 3.17-3.39
Tl: 0.4998 0.2500 0.2882  4 S 3.11-3.40, 6 Ag 3.17-3.39
Tl: 0.5002 0.7500 0.7118  4 S 3.11-3.40, 6 Ag 3.17-3.39
Ag: 0.2222 0.2500 0.5777  3 S 2.48
Ag: 0.2778 0.7500 0.0777  3 S 2.48
Ag: 0.7222 0.2500 0.9223  3 S 2.48
Ag: 0.7778 0.7500 0.4223  3 S 2.48
S: 0.1967 0.7500 0.4113  3 Ag 2.48
S: 0.3033 0.2500 0.9113  3 Ag 2.48
S: 0.6967 0.7500 0.0887  3 Ag 2.48
S: 0.8033 0.2500 0.5887  3 Ag 2.48

---

VASP calculation (GGA-PBEsol) on a geometry-optimized SbPb2Au structure.

* formation energy from raw total energies: 39 meV per atom
* total magnetic moment: 0.00 μB/f.u.
* E_tot: -4.081 eV/atom

Unit cell a=3.6673 b=3.6673 c=7.6204 alpha=90.00 beta=90.00 gamma=90.00
Closest atoms and distances in Å follow each position.
Fractional positions:
Sb: 0.0000 0.0000 0.0000  4 Au 2.97, 5 Pb 3.17-3.28
Pb: 0.0000 0.0000 0.4158  4 Au 3.11, 1 Sb 3.17
Pb: 0.5000 0.5000 0.7364  4 Sb 3.28, 1 Au 3.47, 8 Pb 3.56-3.67
Au: 0.5000 0.5000 0.1913  4 Sb 2.97, 4 Pb 3.11

---

VASP calculation (GGA-PBEsol) on a geometry-optimized ZrSc2Fe structure.

* ΔH_f (0 K): -0.04 eV per atom
* total magnetic moment: 0.71 μB/f.u.
* E_tot: -7.859 eV/atom

Unit cell a=3.1515 b=3.1515 c=7.6845 alpha=90.00 beta=90.00 gamma=90.00
Closest atoms and distances in Å follow each position.
Fractional positions:
Zr: 0.0000 0.0000 0.0000  4 Fe 2.69, 1 Sc 3.00
Sc: 0.0000 0.0000 0.6095  4 Fe 2.69, 1 Zr 3.00
Sc: 0.5000 0.5000 0.2840  4 Zr 3.12, 8 Sc 3.15-3.35
Fe: 0.5000 0.5000 0.8050  4 Zr 2.69, 4 Sc 2.69

---

What did the third record say?
VASP calculation (GGA-PBEsol) on a geometry-optimized CsSr3I structure.

* formation energy from raw total energies: 637 meV per atom
* total magnetic moment: 0.00 μB/f.u.
* E_tot: -1.009 eV/atom

Unit cell a=7.8086 b=7.8086 c=7.8086 alpha=90.00 beta=90.00 gamma=90.00
Closest atoms and distances in Å follow each position.
Fractional positions:
Cs: 0.0000 0.0000 0.0000  6 Sr 3.90
Sr: 0.0000 0.0000 0.5000  2 Cs 3.90
Sr: 0.0000 0.5000 0.0000  2 Cs 3.90
Sr: 0.5000 0.0000 0.0000  2 Cs 3.90
I: 0.5000 0.5000 0.5000  12 Sr 5.52